A plane-wave DFT calculation with PBE was carried out for K2Rb2Ba after structural relaxation.

Output
energy of formation from the pure elements = 0.12 eV/atom
uncorrected energy = -1.092 eV per atom
relative energy among the computed polymorphs = 3 kJ/mol of formula units
crystal system = tetragonal
N(E_F) = 5.734 states/eV/f.u.

Lattice parameters (Å, degrees): 12.640 12.640 4.808 90.00 90.00 90.00
Atoms (fractional coordinates):
K (0.173, 0.673, 0.500)
K (0.673, 0.827, 0.500)
K (0.827, 0.327, 0.500)
K (0.327, 0.173, 0.500)
Ba (0.000, 0.000, 0.000)
Ba (0.500, 0.500, 0.000)
Rb (0.370, 0.870, 0.000)
Rb (0.870, 0.630, 0.000)
Rb (0.630, 0.130, 0.000)
Rb (0.130, 0.370, 0.000)

A plane-wave DFT calculation with PBE was carried out for BiBPt3 after structural relaxation.

Output
energy of formation from the pure elements = -0.21 eV/atom
uncorrected energy = -5.943 eV per atom
relative energy among the computed polymorphs = 5 kJ/mol of formula units
crystal system = orthorhombic
N(E_F) = 2.479 states/eV/f.u.

Lattice parameters (Å, degrees): 3.656 8.394 5.583 90.00 90.00 90.02
Atoms (fractional coordinates):
B (0.494, 0.724, 0.178)
B (0.994, 0.587, 0.678)
Bi (0.493, 0.063, 0.677)
Bi (0.994, 0.248, 0.177)
Pt (0.994, 0.328, 0.677)
Pt (0.994, 0.781, 0.934)
Pt (0.994, 0.781, 0.422)
Pt (0.494, 0.984, 0.177)
Pt (0.494, 0.530, 0.434)
Pt (0.494, 0.530, 0.922)

A plane-wave DFT calculation with PBE was carried out for MgCr2Br after structural relaxation.

Output
formation energy (no corrections) = 0.183 eV per atom
uncorrected energy = -5.445 eV per atom
relative energy among the computed polymorphs = 0 kJ/mol of formula units
crystal system = monoclinic
N(E_F) = 2.948 states/eV/f.u.

Lattice parameters (Å, degrees): 3.199 3.294 7.324 76.60 90.00 90.00
Atoms (fractional coordinates):
Br (0.500, 0.946, 0.741)
Cr (0.000, 0.780, 0.069)
Cr (0.500, 0.205, 0.212)
Mg (0.000, 0.569, 0.478)

A plane-wave DFT calculation with PBE was carried out for NdMgGaPd2 after structural relaxation.

Output
energy of formation from the pure elements = -0.70 eV/atom
uncorrected energy = -4.655 eV per atom
crystal system = tetragonal
N(E_F) = 3.413 states/eV/f.u.

Lattice parameters (Å, degrees): 4.096 4.096 6.711 107.77 107.77 90.00
Atoms (fractional coordinates):
Nd (0.000, 0.000, 0.000)
Mg (0.750, 0.250, 0.500)
Ga (0.250, 0.750, 0.500)
Pd (0.612, 0.612, 0.225)
Pd (0.388, 0.388, 0.775)

A plane-wave DFT calculation with PBE was carried out for La4Zn2Cl after structural relaxation.

Output
formation energy (no corrections) = -0.603 eV per atom
uncorrected energy = -4.047 eV per atom
crystal system = monoclinic
N(E_F) = 7.566 states/eV/f.u.

Lattice parameters (Å, degrees): 4.143 7.055 7.775 74.83 74.55 72.93
Atoms (fractional coordinates):
Zn (0.391, 0.544, 0.674)
Zn (0.609, 0.456, 0.326)
Cl (0.000, 0.000, 0.000)
La (0.093, 0.203, 0.610)
La (0.907, 0.797, 0.390)
La (0.322, 0.269, 0.088)
La (0.678, 0.731, 0.912)

A plane-wave DFT calculation with PBE was carried out for MgOs after structural relaxation.

Output
energy of formation from the pure elements = 0.28 eV/atom
uncorrected energy = -6.128 eV per atom
crystal system = orthorhombic
N(E_F) = 1.599 states/eV/f.u.

Lattice parameters (Å, degrees): 2.813 4.510 5.016 90.00 90.00 90.00
Atoms (fractional coordinates):
Mg (0.500, 0.250, 0.648)
Mg (0.500, 0.750, 0.352)
Os (0.000, 0.750, 0.878)
Os (0.000, 0.250, 0.122)

A plane-wave DFT calculation with PBE was carried out for Pu6TcPd5 after structural relaxation.

Output
energy of formation from the pure elements = -0.31 eV/atom
uncorrected energy = -10.505 eV per atom
crystal system = monoclinic
N(E_F) = 44.883 states/eV/f.u.

Lattice parameters (Å, degrees): 4.953 7.012 8.408 65.36 74.37 90.00
Atoms (fractional coordinates):
Tc (0.000, 0.000, 0.000)
Pd (0.610, 0.172, 0.656)
Pd (0.393, 0.333, 0.334)
Pd (0.000, 0.500, 0.000)
Pd (0.607, 0.667, 0.666)
Pd (0.390, 0.828, 0.344)
Pu (0.888, 0.593, 0.325)
Pu (0.888, 0.082, 0.325)
Pu (0.500, 0.762, 0.000)
Pu (0.500, 0.238, 0.000)
Pu (0.112, 0.918, 0.675)
Pu (0.112, 0.407, 0.675)

A plane-wave DFT calculation with PBE was carried out for Mn2GeN after structural relaxation.

Output
formation energy (no corrections) = -0.100 eV per atom
uncorrected energy = -7.920 eV per atom
crystal system = trigonal
N(E_F) = 3.237 states/eV/f.u.

Lattice parameters (Å, degrees): 6.312 2.839 4.920 90.00 90.00 90.00
Atoms (fractional coordinates):
Ge (0.500, 0.000, 0.500)
Ge (0.500, 0.500, 0.000)
Mn (0.172, 0.000, 0.833)
Mn (0.828, 0.000, 0.167)
Mn (0.172, 0.500, 0.333)
Mn (0.828, 0.500, 0.667)
N (0.000, 0.500, 0.000)
N (0.000, 0.000, 0.500)